## Pm4HoCd (GGA-PBE)

Data for a relaxed structure of Pm4HoCd.

Unit cell a=3.652 b=3.652 c=14.277 alpha=90.00 beta=90.00 gamma=90.00
Atoms (fractional coordinates):
1 Pm 0.000 0.000 0.147
2 Pm 0.000 0.000 0.853
3 Pm 0.500 0.500 0.325
4 Pm 0.500 0.500 0.675
5 Ho 0.000 0.000 0.500
6 Cd 0.500 0.500 0.000

Calculated values
- ΔE_f (eV/atom) = -0.09
- VASP energy (eV/atom) = -4.176
- D(E_F) (states/eV/atom) = 1.235
- symmetry = P4/mmm
- excess energy over the best structure of this formula in the dataset (eV per atom) = 0.000

=====

## Ac5Ge3N (GGA-PBE)

Data for a relaxed structure of Ac5Ge3N.

Unit cell a=9.650 b=9.650 c=9.650 alpha=126.27 beta=126.27 gamma=79.44
Atoms (fractional coordinates):
1 Ac 0.000 0.000 0.000
2 Ac 0.008 0.508 0.808
3 Ac 0.200 0.008 0.500
4 Ac 0.300 0.800 0.808
5 Ac 0.492 0.300 0.500
6 Ac 0.500 0.500 0.000
7 Ac 0.508 0.700 0.500
8 Ac 0.700 0.200 0.192
9 Ac 0.800 0.992 0.500
10 Ac 0.992 0.492 0.192
11 Ge 0.144 0.356 0.500
12 Ge 0.250 0.250 0.000
13 Ge 0.356 0.856 0.212
14 Ge 0.644 0.144 0.788
15 Ge 0.750 0.750 0.000
16 Ge 0.856 0.644 0.500
17 N 0.250 0.750 0.500
18 N 0.750 0.250 0.500

Calculated values
- VASP energy (eV/atom) = -5.526
- D(E_F) (states/eV/atom) = 0.124
- symmetry = I4/mcm
- raw formation energy (meV per atom) = -780

=====

## NaLaTlAg (GGA-PBE)

Data for a relaxed structure of NaLaTlAg.

Unit cell a=5.362 b=5.362 c=5.362 alpha=60.00 beta=60.00 gamma=60.00
Atoms (fractional coordinates):
1 Na 0.000 0.000 0.000
2 La 0.500 0.500 0.500
3 Tl 0.250 0.250 0.250
4 Ag 0.750 0.750 0.750

Calculated values
- ΔE_f (eV/atom) = -0.21
- VASP energy (eV/atom) = -3.071
- D(E_F) (states/eV/atom) = 0.851
- symmetry = F-43m

=====

## Pd3AuSe6 (GGA-PBE)

Data for a relaxed structure of Pd3AuSe6.

Unit cell a=7.643 b=7.643 c=3.917 alpha=90.00 beta=90.00 gamma=99.20
Atoms (fractional coordinates):
1 Pd 0.000 0.000 0.000
2 Pd 0.000 0.500 0.500
3 Pd 0.500 0.000 0.500
4 Au 0.500 0.500 0.000
5 Se 0.082 0.322 0.000
6 Se 0.322 0.082 0.000
7 Se 0.349 0.651 0.500
8 Se 0.651 0.349 0.500
9 Se 0.678 0.918 0.000
10 Se 0.918 0.678 0.000

Calculated values
- VASP energy (eV/atom) = -4.127
- D(E_F) (states/eV/atom) = 0.381
- symmetry = Cmmm
- raw formation energy (meV per atom) = -151

=====

## MgFeCl2 (GGA-PBE)

Data for a relaxed structure of MgFeCl2.

Unit cell a=4.626 b=4.626 c=4.626 alpha=60.00 beta=60.00 gamma=60.00
Atoms (fractional coordinates):
1 Mg 0.000 0.000 0.000
2 Fe 0.500 0.500 0.500
3 Cl 0.250 0.250 0.250
4 Cl 0.750 0.750 0.750

Calculated values
- VASP energy (eV/atom) = -3.542
- D(E_F) (states/eV/atom) = 0.851
- symmetry = Fm-3m
- raw formation energy (meV per atom) = -105
- excess energy over the best structure of this formula in the dataset (eV per atom) = 0.415

=====

## InAg5Pb (GGA-PBE)

Data for a relaxed structure of InAg5Pb.

Unit cell a=4.195 b=4.195 c=8.582 alpha=90.00 beta=90.00 gamma=90.00
Atoms (fractional coordinates):
1 In 0.000 0.000 0.000
2 Ag 0.000 0.500 0.247
3 Ag 0.000 0.500 0.753
4 Ag 0.500 0.000 0.247
5 Ag 0.500 0.000 0.753
6 Ag 0.500 0.500 0.000
7 Pb 0.500 0.500 0.500

Calculated values
- ΔE_f (eV/atom) = 0.10
- VASP energy (eV/atom) = -2.859
- D(E_F) (states/eV/atom) = 0.374
- symmetry = P4/mmm

=====

## MnNb2CdH (GGA-PBE)

Data for a relaxed structure of MnNb2CdH.

Unit cell a=4.098 b=4.098 c=4.307 alpha=90.00 beta=90.00 gamma=90.00
Atoms (fractional coordinates):
1 Mn 0.000 0.000 0.000
2 Nb 0.000 0.500 0.500
3 Nb 0.500 0.000 0.500
4 Cd 0.500 0.500 0.000
5 H 0.000 0.000 0.500

Calculated values
- VASP energy (eV/atom) = -6.624
- D(E_F) (states/eV/atom) = 0.909
- symmetry = P4/mmm

=====

## CeTm2Tc (GGA-PBE)

Data for a relaxed structure of CeTm2Tc.

Unit cell a=3.407 b=3.407 c=8.829 alpha=90.00 beta=90.00 gamma=90.00
Atoms (fractional coordinates):
1 Ce 0.000 0.000 0.000
2 Tm 0.500 0.500 0.315
3 Tm 0.500 0.500 0.685
4 Tc 0.000 0.000 0.500

Calculated values
- ΔE_f (eV/atom) = 0.03
- VASP energy (eV/atom) = -6.282
- D(E_F) (states/eV/atom) = 2.303
- symmetry = P4/mmm
- excess energy over the best structure of this formula in the dataset (eV per atom) = 0.232

=====

## Sc2CdNi (GGA-PBE)

Data for a relaxed structure of Sc2CdNi.

Unit cell a=4.669 b=4.669 c=4.669 alpha=60.00 beta=60.00 gamma=60.00
Atoms (fractional coordinates):
1 Sc 0.000 0.000 0.000
2 Sc 0.250 0.250 0.250
3 Cd 0.750 0.750 0.750
4 Ni 0.500 0.500 0.500

Calculated values
- ΔE_f (eV/atom) = -0.17
- VASP energy (eV/atom) = -5.009
- D(E_F) (states/eV/atom) = 0.063
- symmetry = F-43m

=====

## MgRhC3 (GGA-PBE)

Data for a relaxed structure of MgRhC3.

Unit cell a=4.007 b=4.007 c=4.007 alpha=90.00 beta=90.00 gamma=90.00
Atoms (fractional coordinates):
1 Mg 0.000 0.000 0.000
2 Rh 0.500 0.500 0.500
3 C 0.000 0.500 0.500
4 C 0.500 0.000 0.500
5 C 0.500 0.500 0.000

Calculated values
- ΔE_f (eV/atom) = 2.03
- VASP energy (eV/atom) = -5.294
- D(E_F) (states/eV/atom) = 1.034
- symmetry = Pm-3m
- excess energy over the best structure of this formula in the dataset (eV per atom) = 0.000

=====

## AcLa2InN (GGA-PBE)

Data for a relaxed structure of AcLa2InN.

Unit cell a=5.158 b=5.158 c=5.328 alpha=90.00 beta=90.00 gamma=90.00
Atoms (fractional coordinates):
1 Ac 0.000 0.000 0.000
2 La 0.000 0.500 0.500
3 La 0.500 0.000 0.500
4 In 0.500 0.500 0.000
5 N 0.000 0.000 0.500

Calculated values
- VASP energy (eV/atom) = -5.816
- D(E_F) (states/eV/atom) = 0.679
- symmetry = P4/mmm
- raw formation energy (meV per atom) = -811

=====

## LaZn3Bi (GGA-PBE)

Data for a relaxed structure of LaZn3Bi.

Unit cell a=5.296 b=5.296 c=5.296 alpha=90.00 beta=90.00 gamma=90.00
Atoms (fractional coordinates):
1 La 0.000 0.000 0.000
2 Zn 0.000 0.500 0.500
3 Zn 0.500 0.000 0.500
4 Zn 0.500 0.500 0.000
5 Bi 0.500 0.500 0.500

Calculated values
- ΔE_f (eV/atom) = 0.39
- VASP energy (eV/atom) = -2.139
- D(E_F) (states/eV/atom) = 0.934
- symmetry = Pm-3m
- excess energy over the best structure of this formula in the dataset (eV per atom) = 0.000